Entry 1:
# Hf4TiTc PBE optimized geometry
# Space-group type = P2/m
# Electronic total energy = -57.6 eV for the cell shown
# Formation enthalpy at 0 K = 85 meV/atom
data_Hf4TiTc
_symmetry_space_group_name_H-M 'P 1'
_symmetry_Int_Tables_number 1
_cell_length_a 5.592
_cell_length_b 3.120
_cell_length_c 6.950
_cell_angle_alpha 90.00
_cell_angle_beta 96.36
_cell_angle_gamma 90.00
loop_
_symmetry_equiv_pos_as_xyz
'x,y,z'
loop_
_atom_site_label
_atom_site_type_symbol
_atom_site_fract_x
_atom_site_fract_y
_atom_site_fract_z
_atom_site_occupancy
Hf1 Hf 0.170 0.000 0.192 1
Hf2 Hf 0.313 0.500 0.818 1
Hf3 Hf 0.687 0.500 0.182 1
Hf4 Hf 0.830 0.000 0.808 1
Ti1 Ti 0.500 0.000 0.500 1
Tc1 Tc 0.000 0.500 0.500 1

***

Entry 2:
# TlIn2P PBE optimized geometry
# Relative energy among the computed polymorphs = 0.117 eV/atom
# Space-group type = P2/m
# Electronic total energy = -12.8 eV for the cell shown
# Formation enthalpy at 0 K = 106 meV/atom
data_TlIn2P
_symmetry_space_group_name_H-M 'P 1'
_symmetry_Int_Tables_number 1
_cell_length_a 3.594
_cell_length_b 3.567
_cell_length_c 7.873
_cell_angle_alpha 90.00
_cell_angle_beta 90.07
_cell_angle_gamma 90.00
loop_
_symmetry_equiv_pos_as_xyz
'x,y,z'
loop_
_atom_site_label
_atom_site_type_symbol
_atom_site_fract_x
_atom_site_fract_y
_atom_site_fract_z
_atom_site_occupancy
Tl1 Tl 0.000 0.000 0.000 1
In1 In 0.499 0.500 0.303 1
In2 In 0.501 0.500 0.697 1
P1 P 0.000 0.000 0.500 1

***

Entry 3:
# RbAl4Si2 PBE optimized geometry
# Space-group type = Cmmm
# Electronic total energy = -26.2 eV for the cell shown
data_RbAl4Si2
_symmetry_space_group_name_H-M 'P 1'
_symmetry_Int_Tables_number 1
_cell_length_a 10.077
_cell_length_b 10.077
_cell_length_c 3.909
_cell_angle_alpha 90.00
_cell_angle_beta 90.00
_cell_angle_gamma 156.28
loop_
_symmetry_equiv_pos_as_xyz
'x,y,z'
loop_
_atom_site_label
_atom_site_type_symbol
_atom_site_fract_x
_atom_site_fract_y
_atom_site_fract_z
_atom_site_occupancy
Rb1 Rb 0.000 0.000 0.000 1
Al1 Al 0.189 0.811 0.500 1
Al2 Al 0.298 0.702 0.000 1
Al3 Al 0.702 0.298 0.000 1
Al4 Al 0.811 0.189 0.500 1
Si1 Si 0.384 0.616 0.500 1
Si2 Si 0.616 0.384 0.500 1